## Ca5Mg3Cl16 (GGA-PBE)

Data for a relaxed Ca5Mg3Cl16 crystal.

```
Ca5Mg3Cl16
1.0
6.7922 -3.8883 0.0000
6.7922 3.8883 0.0000
-0.4259 0.0000 12.6153
Ca Mg Cl
5 3 16
direct
0.0000 0.0000 0.0000
0.3314 0.3314 0.4938
0.3369 0.8392 0.7297
0.5040 0.5040 0.2302
0.8392 0.3369 0.7297
0.0085 0.5019 0.2284
0.5019 0.0085 0.2284
0.8408 0.8408 0.7304
0.1479 0.6957 0.8499
0.1569 0.1569 0.8633
0.1693 0.6410 0.3497
0.1830 0.1830 0.3398
0.3256 0.3256 0.1194
0.3517 0.8442 0.1146
0.5086 0.5086 0.6029
0.5201 0.9972 0.6172
0.6410 0.1693 0.3497
0.6850 0.6850 0.3327
0.6873 0.6873 0.8391
0.6957 0.1479 0.8499
0.8322 0.8322 0.1225
0.8442 0.3517 0.1146
0.9899 0.9899 0.6153
0.9972 0.5201 0.6172
```

Results
- D(E_F): 0.00 states/eV per cell
- Total magnetic moment: 0.00 μB per cell
- Uncorrected formation energy: -2173 meV per atom